PPt3C PBE optimized geometry; energy = -5.937 eV/atom; E_form = 3.1 eV per formula unit
1.0
4.194 0.000 0.000
0.000 4.194 0.000
0.000 0.000 4.194
Pt P C
3 1 1
Direct
0.000 0.000 0.500 Pt
0.000 0.500 0.000 Pt
0.500 0.000 0.000 Pt
0.500 0.500 0.500 P
0.000 0.000 0.000 C